Computed, not measured: a relaxed structure of Rb3TbBr6 at the PBE-GGA level of DFT.

The value obtained for the energy is -3.5981 eV per atom. The uncorrected formation energy comes out at -178 kJ per mole of atoms.

Geometry as CIF:
```
data_Rb3TbBr6
_cell_length_a 8.1724
_cell_length_b 8.6739
_cell_length_c 14.0986
_cell_angle_alpha 90.00
_cell_angle_beta 124.26
_cell_angle_gamma 90.00
_space_group_name_H-M_alt 'P 1 21/c 1'
_space_group_IT_number 14
loop_
_space_group_symop_operation_xyz
'x,y,z'
'-x,-y,-z'
'-x,y+1/2,-z+1/2'
'x,-y+1/2,z+1/2'
loop_
_atom_site_label
_atom_site_fract_x
_atom_site_fract_y
_atom_site_fract_z
Rb1 0.0000 0.0000 0.0000
Rb2 0.2146 0.0746 0.7436
Tb1 0.5000 0.0000 0.5000
Br1 0.1677 0.1769 0.4456
Br2 0.2626 0.7295 0.4267
Br3 0.4015 0.0512 0.2756
```



Computed, not measured: a relaxed structure of Rb3Tb2Br9 at the PBE-GGA level of DFT.

The value obtained for the energy is -3.7863 eV per atom. The uncorrected formation energy comes out at -178 kJ per mole of atoms.

Geometry as CIF:
```
data_Rb3Tb2Br9
_cell_length_a 13.7490
_cell_length_b 13.7490
_cell_length_c 19.6686
_cell_angle_alpha 90.00
_cell_angle_beta 90.00
_cell_angle_gamma 120.00
_space_group_name_H-M_alt 'R -3 c'
_space_group_IT_number 167
_space_group_name_Hall '-R 3 2"c'
loop_
_atom_site_label
_atom_site_fract_x
_atom_site_fract_y
_atom_site_fract_z
Rb1 0.0000 0.3298 0.2500
Tb1 0.0000 0.0000 0.1499
Br1 0.0000 0.1573 0.7500
Br2 0.0109 0.1827 0.4121
```



Computed, not measured: a relaxed structure of Rb4TbBr7 at the PBE-GGA level of DFT.

The value obtained for the energy is -3.4682 eV per atom. The uncorrected formation energy comes out at -172 kJ per mole of atoms.

Geometry as CIF:
```
data_Rb4TbBr7
_cell_length_a 17.3863
_cell_length_b 5.6499
_cell_length_c 11.6676
_cell_angle_alpha 90.00
_cell_angle_beta 105.03
_cell_angle_gamma 90.00
_space_group_name_H-M_alt 'C 1 2/m 1'
_space_group_IT_number 12
loop_
_space_group_symop_operation_xyz
'x,y,z'
'-x,-y,-z'
'-x,y,-z'
'x,-y,z'
'x+1/2,y+1/2,z'
'-x+1/2,-y+1/2,-z'
'-x+1/2,y+1/2,-z'
'x+1/2,-y+1/2,z'
loop_
_atom_site_label
_atom_site_fract_x
_atom_site_fract_y
_atom_site_fract_z
Rb1 0.0128 0.0000 0.2034
Rb2 0.2457 0.5000 0.1738
Tb1 0.0000 0.5000 0.5000
Br1 0.0000 0.0000 0.5000
Br2 0.1130 0.5000 0.3663
Br3 0.1166 0.5000 0.7170
Br4 0.1453 0.0000 0.0385
```



Computed, not measured: a relaxed structure of Rb2TbBr5 at the PBE-GGA level of DFT.

The value obtained for the energy is -3.7099 eV per atom. For the excess energy over the best structure of this formula in the dataset, the calculation gives 0.000 eV/atom. The uncorrected formation energy comes out at -178 kJ per mole of atoms.

Geometry as CIF:
```
data_Rb2TbBr5
_cell_length_a 13.9516
_cell_length_b 9.2737
_cell_length_c 8.8111
_cell_angle_alpha 90.00
_cell_angle_beta 90.00
_cell_angle_gamma 90.00
_space_group_name_H-M_alt 'P n m a'
_space_group_IT_number 62
loop_
_space_group_symop_operation_xyz
'x,y,z'
'-x,-y,-z'
'-x+1/2,-y,z+1/2'
'x+1/2,y,-z+1/2'
'x+1/2,-y+1/2,-z+1/2'
'-x+1/2,y+1/2,z+1/2'
'-x,y+1/2,-z'
'x,-y+1/2,z'
loop_
_atom_site_label
_atom_site_fract_x
_atom_site_fract_y
_atom_site_fract_z
Rb1 0.1699 0.0078 0.0746
Tb1 0.0052 0.2500 0.5719
Br1 0.0140 0.2500 0.9013
Br2 0.0623 0.5462 0.6651
Br3 0.1798 0.2500 0.4035
Br4 0.1941 0.7500 0.3588
```